Entry 1:
# PBE Rb4Sm3ZrSe8, optimized geometry
data_Rb4Sm3ZrSe8
_cell_length_a 8.4681
_cell_length_b 8.4681
_cell_length_c 24.0806
_cell_angle_alpha 90.00
_cell_angle_beta 90.00
_cell_angle_gamma 120.00
_space_group_name_H-M_alt 'R -3 m'
_space_group_IT_number 166
_space_group_name_Hall '-R 3 2"'
loop_
_atom_site_label
_atom_site_fract_x
_atom_site_fract_y
_atom_site_fract_z
_atom_site_occupancy
Rb1 0.0000 0.0000 0.0000 1
Rb2 0.0000 0.5000 0.0000 1
Sm1 0.0000 0.5000 0.5000 1
Zr1 0.0000 0.0000 0.5000 1
Se1 0.0000 0.0000 0.2343 1
Se2 0.0164 0.5082 0.2320 1
# **Uncorrected formation energy**: -25.7 eV/f.u.



Entry 2:
# PBE CdGeBiH, optimized geometry
data_CdGeBiH
_cell_length_a 4.5992
_cell_length_b 4.3279
_cell_length_c 4.6237
_cell_angle_alpha 90.00
_cell_angle_beta 96.77
_cell_angle_gamma 90.00
_space_group_name_H-M_alt 'P 1 m 1'
_space_group_IT_number 6
loop_
_space_group_symop_operation_xyz
'x,y,z'
'x,-y,z'
loop_
_atom_site_label
_atom_site_fract_x
_atom_site_fract_y
_atom_site_fract_z
_atom_site_occupancy
Cd1 0.0000 0.0000 0.0000 1
Ge1 0.7950 0.5000 0.3412 1
Bi1 0.4642 0.0000 0.5379 1
H1 0.0457 0.5000 0.6128 1
# **Distance to the lowest polymorph of the same formula**: 0.050 eV per atom



Entry 3:
# PBE NbRePt, optimized geometry
data_NbRePt
_cell_length_a 8.9277
_cell_length_b 4.0564
_cell_length_c 5.6015
_cell_angle_alpha 90.00
_cell_angle_beta 108.55
_cell_angle_gamma 90.00
_space_group_name_H-M_alt 'C 1 m 1'
_space_group_IT_number 8
loop_
_space_group_symop_operation_xyz
'x,y,z'
'x,-y,z'
'x+1/2,y+1/2,z'
'x+1/2,-y+1/2,z'
loop_
_atom_site_label
_atom_site_fract_x
_atom_site_fract_y
_atom_site_fract_z
_atom_site_occupancy
Nb1 0.0000 0.0000 0.0000 1
Nb2 0.1911 0.5000 0.3652 1
Re1 0.0165 0.0000 0.5202 1
Re2 0.3385 0.0000 0.6749 1
Pt1 0.1727 0.5000 0.8540 1
Pt2 0.3487 0.0000 0.1813 1
# **ΔE_f**: -368 meV/atom
# **Distance to the lowest polymorph of the same formula**: 0.000 eV per atom



Entry 4:
# PBE Ba3LiBi, optimized geometry
data_Ba3LiBi
_cell_length_a 6.8337
_cell_length_b 6.8337
_cell_length_c 6.8337
_cell_angle_alpha 90.00
_cell_angle_beta 90.00
_cell_angle_gamma 90.00
_space_group_name_H-M_alt 'P m -3 m'
_space_group_IT_number 221
_space_group_name_Hall '-P 4 2 3'
loop_
_atom_site_label
_atom_site_fract_x
_atom_site_fract_y
_atom_site_fract_z
_atom_site_occupancy
Ba1 0.0000 0.0000 0.5000 1
Li1 0.5000 0.5000 0.5000 1
Bi1 0.0000 0.0000 0.0000 1
# **ΔE_f**: -226 meV/atom
# **Distance to the lowest polymorph of the same formula**: 0.000 eV per atom



Entry 5:
# PBE Ba4BP4, optimized geometry
data_Ba4BP4
_cell_length_a 9.0580
_cell_length_b 9.0580
_cell_length_c 6.4955
_cell_angle_alpha 90.00
_cell_angle_beta 90.00
_cell_angle_gamma 90.00
_space_group_name_H-M_alt 'P 42/n m c'
_space_group_IT_number 137
loop_
_space_group_symop_operation_xyz
'x,y,z'
'-x,-y,-z'
'-y+1/2,x,z+1/2'
'y+1/2,-x,-z+1/2'
'-x+1/2,-y+1/2,z'
'x+1/2,y+1/2,-z'
'y,-x+1/2,z+1/2'
'-y,x+1/2,-z+1/2'
'x+1/2,-y,-z'
'-x+1/2,y,z'
'-y,-x,-z+1/2'
'y,x,z+1/2'
'-x,y+1/2,-z'
'x,-y+1/2,z'
'y+1/2,x+1/2,-z+1/2'
'-y+1/2,-x+1/2,z+1/2'
loop_
_atom_site_label
_atom_site_fract_x
_atom_site_fract_y
_atom_site_fract_z
_atom_site_occupancy
Ba1 0.0158 0.2500 0.0617 1
B1 0.2500 0.7500 0.2500 1
P1 0.0504 0.7500 0.4241 1
# **ΔE_f**: -733 meV/atom



Entry 6:
# PBE Ti3GaCu, optimized geometry
data_Ti3GaCu
_cell_length_a 4.9779
_cell_length_b 14.0101
_cell_length_c 4.8471
_cell_angle_alpha 90.00
_cell_angle_beta 90.00
_cell_angle_gamma 90.00
_space_group_name_H-M_alt 'C m c m'
_space_group_IT_number 63
_space_group_name_Hall '-C 2c 2'
loop_
_atom_site_label
_atom_site_fract_x
_atom_site_fract_y
_atom_site_fract_z
_atom_site_occupancy
Ti1 0.0000 0.0000 0.0000 1
Ti2 0.2481 0.1587 0.2500 1
Ga1 0.0000 0.1686 0.7500 1
Cu1 0.0000 0.4588 0.2500 1
# **ΔE_f**: 85 meV/atom
# **Distance to the lowest polymorph of the same formula**: 0.000 eV per atom



| no. | V (Å³/cell) | calculated total energy (eV/atom) |
| --- | --- | --- |
| 1 | 1495 | -5.0096 |
| 2 | 91 | -2.9752 |
| 3 | 192 | -9.8878 |
| 4 | 319 | -2.5386 |
| 5 | 533 | -4.7342 |
| 6 | 338 | -6.0763 |